(1)
# ScZnGaPd2 | Alexandria | PBEsol | optimized geometry
data_ScZnGaPd2
_cell_length_a 4.552
_cell_length_b 4.552
_cell_length_c 4.789
_cell_angle_alpha 90.00
_cell_angle_beta 90.00
_cell_angle_gamma 90.00
_symmetry_space_group_name_H-M 'P 1'
_symmetry_Int_Tables_number 1
loop_
_symmetry_equiv_pos_as_xyz
'x,y,z'
loop_
_atom_site_label
_atom_site_type_symbol
_atom_site_fract_x
_atom_site_fract_y
_atom_site_fract_z
_atom_site_occupancy
Sc1 Sc 0.000 0.000 0.500 1
Zn1 Zn 0.000 0.000 0.000 1
Ga1 Ga 0.500 0.500 0.500 1
Pd1 Pd 0.000 0.500 0.000 1
Pd2 Pd 0.500 0.000 0.000 1
# V = 99.2 Å³ per cell
# ρ = 6.58 g/cm³
# ΔH_f (0 K) = 0.305 eV/atom



(2)
# GaPd3Se | Alexandria | PBEsol | optimized geometry
data_GaPd3Se
_cell_length_a 4.632
_cell_length_b 4.632
_cell_length_c 4.632
_cell_angle_alpha 90.00
_cell_angle_beta 90.00
_cell_angle_gamma 90.00
_symmetry_space_group_name_H-M 'P 1'
_symmetry_Int_Tables_number 1
loop_
_symmetry_equiv_pos_as_xyz
'x,y,z'
loop_
_atom_site_label
_atom_site_type_symbol
_atom_site_fract_x
_atom_site_fract_y
_atom_site_fract_z
_atom_site_occupancy
Ga1 Ga 0.500 0.500 0.500 1
Se1 Se 0.000 0.000 0.000 1
Pd1 Pd 0.000 0.500 0.000 1
Pd2 Pd 0.000 0.000 0.500 1
Pd3 Pd 0.500 0.000 0.000 1
# V = 99.4 Å³ per cell
# ρ = 7.82 g/cm³
# Formation energy from raw total energies = 1.01 eV per formula unit



(3)
# Ga3PdSe | Alexandria | PBEsol | optimized geometry
data_Ga3PdSe
_cell_length_a 4.863
_cell_length_b 4.863
_cell_length_c 4.863
_cell_angle_alpha 90.00
_cell_angle_beta 90.00
_cell_angle_gamma 90.00
_symmetry_space_group_name_H-M 'P 1'
_symmetry_Int_Tables_number 1
loop_
_symmetry_equiv_pos_as_xyz
'x,y,z'
loop_
_atom_site_label
_atom_site_type_symbol
_atom_site_fract_x
_atom_site_fract_y
_atom_site_fract_z
_atom_site_occupancy
Ga1 Ga 0.000 0.500 0.000 1
Ga2 Ga 0.000 0.000 0.500 1
Ga3 Ga 0.500 0.000 0.000 1
Se1 Se 0.000 0.000 0.000 1
Pd1 Pd 0.500 0.500 0.500 1
# V = 115.0 Å³ per cell
# ρ = 5.70 g/cm³
# Formation energy from raw total energies = 3.33 eV per formula unit



(4)
# SmGaPd | Alexandria | PBEsol | optimized geometry
data_SmGaPd
_cell_length_a 4.466
_cell_length_b 6.970
_cell_length_c 7.568
_cell_angle_alpha 90.00
_cell_angle_beta 90.00
_cell_angle_gamma 90.00
_symmetry_space_group_name_H-M 'P 1'
_symmetry_Int_Tables_number 1
loop_
_symmetry_equiv_pos_as_xyz
'x,y,z'
loop_
_atom_site_label
_atom_site_type_symbol
_atom_site_fract_x
_atom_site_fract_y
_atom_site_fract_z
_atom_site_occupancy
Ga1 Ga 0.750 0.173 0.922 1
Ga2 Ga 0.750 0.673 0.578 1
Ga3 Ga 0.250 0.327 0.422 1
Ga4 Ga 0.250 0.827 0.078 1
Pd1 Pd 0.750 0.287 0.595 1
Pd2 Pd 0.250 0.713 0.405 1
Pd3 Pd 0.250 0.213 0.095 1
Pd4 Pd 0.750 0.787 0.905 1
Sm1 Sm 0.250 0.980 0.697 1
Sm2 Sm 0.750 0.520 0.197 1
Sm3 Sm 0.250 0.480 0.803 1
Sm4 Sm 0.750 0.020 0.303 1
# V = 235.6 Å³ per cell
# ρ = 9.21 g/cm³
# ΔH_f (0 K) = -0.885 eV/atom



(5)
# SrGa2Pd2 | Alexandria | PBEsol | optimized geometry
data_SrGa2Pd2
_cell_length_a 4.299
_cell_length_b 4.299
_cell_length_c 6.143
_cell_angle_alpha 110.48
_cell_angle_beta 110.48
_cell_angle_gamma 90.00
_symmetry_space_group_name_H-M 'P 1'
_symmetry_Int_Tables_number 1
loop_
_symmetry_equiv_pos_as_xyz
'x,y,z'
loop_
_atom_site_label
_atom_site_type_symbol
_atom_site_fract_x
_atom_site_fract_y
_atom_site_fract_z
_atom_site_occupancy
Sr1 Sr 0.000 0.000 0.000 1
Ga1 Ga 0.250 0.750 0.500 1
Ga2 Ga 0.750 0.250 0.500 1
Pd1 Pd 0.373 0.373 0.747 1
Pd2 Pd 0.627 0.627 0.253 1
# V = 98.6 Å³ per cell
# ρ = 7.41 g/cm³
# ΔH_f (0 K) = -0.661 eV/atom



(6)
# SrGaPd3 | Alexandria | PBEsol | optimized geometry
data_SrGaPd3
_cell_length_a 5.044
_cell_length_b 5.044
_cell_length_c 5.044
_cell_angle_alpha 90.00
_cell_angle_beta 90.00
_cell_angle_gamma 90.00
_symmetry_space_group_name_H-M 'P 1'
_symmetry_Int_Tables_number 1
loop_
_symmetry_equiv_pos_as_xyz
'x,y,z'
loop_
_atom_site_label
_atom_site_type_symbol
_atom_site_fract_x
_atom_site_fract_y
_atom_site_fract_z
_atom_site_occupancy
Sr1 Sr 0.000 0.000 0.000 1
Ga1 Ga 0.500 0.500 0.500 1
Pd1 Pd 0.000 0.500 0.000 1
Pd2 Pd 0.000 0.000 0.500 1
Pd3 Pd 0.500 0.000 0.000 1
# V = 128.3 Å³ per cell
# ρ = 6.17 g/cm³
# ΔH_f (0 K) = 1.061 eV/atom



(7)
# Ta3GaPd | Alexandria | PBEsol | optimized geometry
data_Ta3GaPd
_cell_length_a 4.761
_cell_length_b 4.761
_cell_length_c 4.761
_cell_angle_alpha 90.00
_cell_angle_beta 90.00
_cell_angle_gamma 90.00
_symmetry_space_group_name_H-M 'P 1'
_symmetry_Int_Tables_number 1
loop_
_symmetry_equiv_pos_as_xyz
'x,y,z'
loop_
_atom_site_label
_atom_site_type_symbol
_atom_site_fract_x
_atom_site_fract_y
_atom_site_fract_z
_atom_site_occupancy
Ga1 Ga 0.500 0.500 0.500 1
Pd1 Pd 0.000 0.000 0.000 1
Ta1 Ta 0.000 0.500 0.000 1
Ta2 Ta 0.000 0.000 0.500 1
Ta3 Ta 0.500 0.000 0.000 1
# V = 107.9 Å³ per cell
# ρ = 11.06 g/cm³
# ΔH_f (0 K) = 1.376 eV/atom



(8)
# Tb4Ga12Pd | Alexandria | PBEsol | optimized geometry
data_Tb4Ga12Pd
_cell_length_a 7.365
_cell_length_b 7.365
_cell_length_c 7.365
_cell_angle_alpha 109.47
_cell_angle_beta 109.47
_cell_angle_gamma 109.47
_symmetry_space_group_name_H-M 'P 1'
_symmetry_Int_Tables_number 1
loop_
_symmetry_equiv_pos_as_xyz
'x,y,z'
loop_
_atom_site_label
_atom_site_type_symbol
_atom_site_fract_x
_atom_site_fract_y
_atom_site_fract_z
_atom_site_occupancy
Tb1 Tb 0.500 0.500 0.500 1
Tb2 Tb 0.000 0.500 0.000 1
Tb3 Tb 0.500 0.000 0.000 1
Tb4 Tb 0.000 0.000 0.500 1
Ga1 Ga 0.703 0.000 0.703 1
Ga2 Ga 0.500 0.250 0.750 1
Ga3 Ga 0.000 0.703 0.703 1
Ga4 Ga 0.297 0.000 0.297 1
Ga5 Ga 0.250 0.500 0.750 1
Ga6 Ga 0.750 0.250 0.500 1
Ga7 Ga 0.250 0.750 0.500 1
Ga8 Ga 0.297 0.297 0.000 1
Ga9 Ga 0.750 0.500 0.250 1
Ga10 Ga 0.500 0.750 0.250 1
Ga11 Ga 0.703 0.703 0.000 1
Ga12 Ga 0.000 0.297 0.297 1
Pd1 Pd 0.000 0.000 0.000 1
# V = 307.6 Å³ per cell
# ρ = 8.52 g/cm³
# ΔH_f (0 K) = -0.674 eV/atom